Entry 1:
MnAl2VBi: relaxed, PBE-GGA.

abc: 4.7600 4.2451 4.7600
angles: 90.00 90.00 90.00
Last column: magnetic moment on the atom in μB.
Element x y z (fractional)
Al: 0.0000 0.0000 0.5000  -0.01
Al: 0.5000 0.0000 0.0000  -0.01
Mn: 0.0000 0.0000 0.0000  0.39
Bi: 0.5000 0.5000 0.5000  0.02
V: 0.0000 0.5000 0.0000  0.23

Computed properties:
crystal system	tetragonal
mass density	6.37	g/cm³
E_form	10.07	kcal/mol of atoms
size of the total moment	0.66	μB/cell
SG	P4/mmm (123)
DOS(E_F)	0.977	states/eV/atom


Entry 2:
MnAl2BiW: relaxed, PBE-GGA.

abc: 4.6063 4.9320 4.6063
angles: 90.00 90.00 90.00
Last column: magnetic moment on the atom in μB.
Element x y z (fractional)
Mn: 0.0000 0.0000 0.0000  1.48
Bi: 0.0000 0.5000 0.0000  -0.07
W: 0.5000 0.5000 0.5000  2.56
Al: 0.0000 0.0000 0.5000  -0.05
Al: 0.5000 0.0000 0.0000  -0.04

Computed properties:
crystal system	tetragonal
mass density	7.96	g/cm³
E_form	27.38	kcal/mol of atoms
size of the total moment	4.59	μB/cell
SG	P4/mmm (123)
DOS(E_F)	0.698	states/eV/atom


Entry 3:
YMn2AlBi: relaxed, PBE-GGA.

abc: 4.8623 5.7311 4.8623
angles: 90.00 90.00 90.00
Last column: magnetic moment on the atom in μB.
Element x y z (fractional)
Y: 0.0000 0.5000 0.0000  -0.05
Mn: 0.0000 0.0000 0.5000  -0.47
Mn: 0.5000 0.0000 0.0000  -0.43
Bi: 0.0000 0.0000 0.0000  0.01
Al: 0.5000 0.5000 0.5000  -0.01

Computed properties:
crystal system	tetragonal
mass density	5.33	g/cm³
E_form	34.77	kcal/mol of atoms
size of the total moment	1.11	μB/cell
SG	P4/mmm (123)
DOS(E_F)	1.653	states/eV/atom


Entry 4:
MnAl2ZnBi: relaxed, PBE-GGA.

abc: 4.6671 4.6597 4.6671
angles: 90.00 90.00 90.00
Last column: magnetic moment on the atom in μB.
Element x y z (fractional)
Zn: 0.0000 0.0000 0.0000  0.01
Mn: 0.0000 0.5000 0.0000  -0.09
Bi: 0.5000 0.5000 0.5000  0.05
Al: 0.0000 0.0000 0.5000  -0.01
Al: 0.5000 0.0000 0.0000  0.00

Computed properties:
crystal system	tetragonal
mass density	6.27	g/cm³
E_form	19.04	kcal/mol of atoms
size of the total moment	0.05	μB/cell
SG	P4/mmm (123)
DOS(E_F)	1.433	states/eV/atom


Entry 5:
AlBi2Mo: relaxed, PBE-GGA.

abc: 6.6062 6.6062 7.7721
angles: 64.85 64.85 90.00
Last column: magnetic moment on the atom in μB.
Element x y z (fractional)
Mo: 0.0000 0.0000 0.0000  2.47
Mo: 0.7500 0.2500 0.5000  2.47
Bi: 0.6245 0.1250 0.2500  -0.09
Bi: 0.1255 0.6250 0.2500  -0.09
Bi: 0.3750 0.3755 0.7500  -0.09
Bi: 0.8750 0.8745 0.7500  -0.09
Al: 0.5000 0.5000 0.0000  0.05
Al: 0.2500 0.7500 0.5000  0.05

Computed properties:
crystal system	tetragonal
mass density	6.63	g/cm³
E_form	19.17	kcal/mol of atoms
size of the total moment	5.95	μB/cell
SG	I-42d (122)
DOS(E_F)	0.393	states/eV/atom


Entry 6:
AlBi3Mo: relaxed, PBE-GGA.

abc: 5.4102 5.4102 5.4102
angles: 90.00 90.00 90.00
Element x y z (fractional)
Mo: 0.0000 0.0000 0.0000
Bi: 0.0000 0.5000 0.0000
Bi: 0.0000 0.0000 0.5000
Bi: 0.5000 0.0000 0.0000
Al: 0.5000 0.5000 0.5000

Computed properties:
crystal system	cubic
mass density	7.86	g/cm³
E_form	16.96	kcal/mol of atoms
size of the total moment	0.00	μB/cell
SG	Pm-3m (221)
energy above the lowest structure with this stoichiometry	0	meV/atom
DOS(E_F)	0.393	states/eV/atom


Entry 7:
AlBi3Mo: relaxed, PBE-GGA.

abc: 5.3875 5.3875 5.3875
angles: 90.00 90.00 90.00
Last column: magnetic moment on the atom in μB.
Element x y z (fractional)
Mo: 0.5000 0.5000 0.5000  3.50
Bi: 0.0000 0.5000 0.0000  -0.15
Bi: 0.0000 0.0000 0.5000  -0.13
Bi: 0.5000 0.0000 0.0000  -0.11
Al: 0.0000 0.0000 0.0000  0.01

Computed properties:
crystal system	cubic
mass density	7.96	g/cm³
E_form	27.66	kcal/mol of atoms
size of the total moment	3.90	μB/cell
SG	Pm-3m (221)
energy above the lowest structure with this stoichiometry	464	meV/atom
DOS(E_F)	0.762	states/eV/atom


Entry 8:
Al2BiMo: relaxed, PBE-GGA.

abc: 7.8594 7.8594 6.2129
angles: 50.76 50.76 90.00
Last column: magnetic moment on the atom in μB.
Element x y z (fractional)
Mo: 0.5000 0.5000 0.0000  0.49
Mo: 0.2500 0.7500 0.5000  0.49
Bi: 0.0000 0.0000 0.0000  -0.01
Bi: 0.7500 0.2500 0.5000  -0.01
Al: 0.5822 0.1250 0.2500  0.00
Al: 0.1678 0.6250 0.2500  0.00
Al: 0.3750 0.4178 0.7500  0.00
Al: 0.8750 0.8322 0.7500  0.00

Computed properties:
crystal system	tetragonal
mass density	6.95	g/cm³
E_form	15.46	kcal/mol of atoms
size of the total moment	1.12	μB/cell
SG	I-42d (122)
DOS(E_F)	0.975	states/eV/atom


Number 5 is which compound?
AlBi2Mo